Version 1
Compound: PmPr2Te
Source: Alexandria via LeMat-Bulk
Functional: GGA-PBE
Structure: relaxed

Unit cell a=4.9461 b=4.9461 c=4.9183 alpha=90.00 beta=90.00 gamma=90.00
With the nearest neighbours (Å) after each atom.
Positions (direct):
Pm 0.0000 0.0000 0.0000  8 Pr 3.49, 4 Te 3.50
Pr 0.0000 0.5000 0.5000  4 Te 3.49, 4 Pm 3.49, 4 Pr 3.50
Pr 0.5000 0.0000 0.5000  4 Te 3.49, 4 Pm 3.49, 4 Pr 3.50
Te 0.5000 0.5000 0.0000  8 Pr 3.49, 4 Pm 3.50

Output
* D(E_F): 4.47 states/eV/cell
* space group: P4/mmm, No. 123

Version 2
Compound: PmPr2Te
Source: Alexandria via LeMat-Bulk
Functional: GGA-PBE
Structure: relaxed

Unit cell a=3.9990 b=3.9990 c=8.1865 alpha=90.00 beta=90.00 gamma=90.00
With the nearest neighbours (Å) after each atom.
Positions (direct):
Pm 0.0000 0.0000 0.0000  8 Pr 3.64, 4 Pm 4.00
Pr 0.5000 0.5000 0.2803  4 Te 3.35, 1 Pr 3.60, 4 Pm 3.64
Pr 0.5000 0.5000 0.7197  4 Te 3.35, 1 Pr 3.60, 4 Pm 3.64
Te 0.0000 0.0000 0.5000  8 Pr 3.35

Output
* D(E_F): 5.14 states/eV/cell
* space group: P4/mmm, No. 123

version 2 comes first in stability; the runner-up is 48 meV/atom higher.

Version 1
Compound: PmPr2Te
Source: Alexandria via LeMat-Bulk
Functional: GGA-PBE
Structure: relaxed

Unit cell a=4.0570 b=4.0570 c=30.0487 alpha=90.00 beta=90.00 gamma=120.00
With the nearest neighbours (Å) after each atom.
Positions (direct):
Pm 0.0000 0.0000 0.0000  6 Pr 3.69-3.71, 6 Pm 4.06
Pm 0.3333 0.6667 0.6667  6 Pr 3.69-3.71, 6 Pm 4.06
Pm 0.6667 0.3333 0.3333  6 Pr 3.69-3.71, 6 Pm 4.06
Pr 0.0000 0.0000 0.2376  3 Te 3.18
Pr 0.0000 0.0000 0.4281  3 Te 3.18
Pr 0.3333 0.6667 0.0947  3 Te 3.18
Pr 0.3333 0.6667 0.9043  3 Te 3.18
Pr 0.6667 0.3333 0.5710  3 Te 3.18
Pr 0.6667 0.3333 0.7614  3 Te 3.18
Te 0.0000 0.0000 0.8328  6 Pr 3.18
Te 0.3333 0.6667 0.4994  6 Pr 3.18
Te 0.6667 0.3333 0.1661  6 Pr 3.18

Output
* D(E_F): 13.41 states/eV/cell
* space group: R3m, No. 160

Version 2
Compound: PmPr2Te
Source: Alexandria via LeMat-Bulk
Functional: GGA-PBE
Structure: relaxed

Unit cell a=5.6763 b=5.6763 c=3.9029 alpha=90.00 beta=90.00 gamma=90.00
With the nearest neighbours (Å) after each atom.
Positions (direct):
Pm 0.0000 0.0000 0.0000  8 Pr 3.44
Pr 0.0000 0.5000 0.5000  4 Te 3.44, 4 Pm 3.44
Pr 0.5000 0.0000 0.5000  4 Te 3.44, 4 Pm 3.44
Te 0.5000 0.5000 0.0000  8 Pr 3.44

Output
* D(E_F): 3.47 states/eV/cell
* space group: P4/mmm, No. 123

version 1 comes first in stability; the runner-up is 50 meV/atom higher.